AlAgPb2 | Alexandria | PBE | optimized geometry; formation energy from the elements = 0.21 eV per atom; SG = No. 119
1.0
5.9281 0.2875 0.0000
2.3187 5.4634 0.0000
-4.1234 -2.8755 3.1551
Pb Al Ag
2 1 1
Direct
0.0000 0.0000 0.0000
0.2500 0.7500 0.5000
0.7500 0.2500 0.5000
0.5000 0.5000 0.0000

***

AlAgPb2 | Alexandria | PBE | optimized geometry; formation energy from the elements = 0.20 eV per atom; SG = No. 123
1.0
-1.4962 1.4540 -4.3517
-4.5660 -0.9329 1.2581
-0.4069 3.9680 1.4657
Pb Al Ag
2 1 1
Direct
0.0000 0.0000 0.0000
0.5000 0.5000 0.0000
0.0000 0.5000 0.5000
0.5000 0.0000 0.5000

***

AlAgPb3 | Alexandria | PBE | optimized geometry; formation energy from the elements = 0.56 eV per atom; energy above the most stable polymorph in this dataset = 0.039 eV per atom; SG = No. 221
1.0
-2.0964 4.7020 -1.9589
1.3005 -1.5540 -5.1220
-4.9249 -2.4119 -0.5187
Pb Al Ag
3 1 1
Direct
0.0000 0.5000 0.0000
0.0000 0.0000 0.5000
0.5000 0.0000 0.0000
0.5000 0.5000 0.5000
0.0000 0.0000 0.0000

***

AlAgPb2 | Alexandria | PBE | optimized geometry; formation energy from the elements = 0.13 eV per atom; SG = No. 160
1.0
10.4864 0.0632 0.0372
9.9316 3.3663 0.0372
9.9316 1.6681 2.9241
Pb Al Ag
2 1 1
Direct
0.0098 0.0098 0.0098
0.2381 0.2381 0.2381
0.7624 0.7624 0.7624
0.4896 0.4896 0.4896

***

AlAgPb2 | Alexandria | PBE | optimized geometry; formation energy from the elements = 0.30 eV per atom; SG = No. 122
1.0
-5.4969 -5.7274 -1.7152
5.8957 -4.8057 -2.8473
0.5865 -6.5031 0.6073
Pb Al Ag
4 2 2
Direct
0.6240 0.1250 0.2500
0.1260 0.6250 0.2500
0.3750 0.3760 0.7500
0.8750 0.8740 0.7500
0.5000 0.5000 0.0000
0.2500 0.7500 0.5000
0.0000 0.0000 0.0000
0.7500 0.2500 0.5000

***

AlAg3Pb | Alexandria | PBE | optimized geometry; formation energy from the elements = 0.77 eV per atom; energy above the most stable polymorph in this dataset = 0.460 eV per atom; SG = No. 221
1.0
-2.2913 4.7823 -0.6889
-4.5012 -2.3899 -1.6193
-1.7561 -0.1140 5.0495
Pb Al Ag
1 1 3
Direct
0.0000 0.0000 0.0000
0.5000 0.5000 0.5000
0.0000 0.5000 0.0000
0.0000 0.0000 0.5000
0.5000 0.0000 0.0000